FePAu3 | GGA-PBEsol | optimized geometry

## Properties
Space group = No. 221
Energy = -4.5427 eV per atom
Formation energy from the elements = 0.76 eV per atom

a = 4.5901 Å, b = 4.5901 Å, c = 4.5901 Å
α = 90.00°, β = 90.00°, γ = 90.00°
Last column: magnetic moment on the atom in μB.
Sites, in units of the cell vectors:
P 0.0000 0.0000 0.0000  -0.02
Au 0.0000 0.5000 0.0000  -0.05
Au 0.0000 0.0000 0.5000  -0.05
Au 0.5000 0.0000 0.0000  -0.05
Fe 0.5000 0.5000 0.5000  3.09